# Cu2HgRu | Alexandria via LeMat-Bulk | GGA-PBE | optimized geometry
data_Cu2HgRu
_symmetry_space_group_name_H-M 'P 1'
_symmetry_Int_Tables_number 1
_cell_length_a 5.284
_cell_length_b 5.284
_cell_length_c 5.284
_cell_angle_alpha 148.52
_cell_angle_beta 127.36
_cell_angle_gamma 62.64
loop_
_symmetry_equiv_pos_as_xyz
'x,y,z'
loop_
_atom_site_label
_atom_site_fract_x
_atom_site_fract_y
_atom_site_fract_z
Cu1 0.008 0.008 0.000
Cu2 0.492 0.492 0.000
Hg1 0.750 0.250 0.500
Ru1 0.250 0.750 0.500
# DOS(E_F), states/eV per atom: 0.61
# Raw total energy, eV/atom: -4.0093
# Total magnetic moment, Bohr magnetons per cell: 0.000